Material: LiPmPr2
Method: DFT, PBE-GGA
State: optimized geometry

Cell: 3.6422 3.6422 11.7241 Å, 81.12 81.12 60.02°
Closest atoms and distances in Å follow each position.
Fractional positions:
Li: 0.6671 0.6671 0.9993  6 Pr 3.48-3.49, 6 Li 3.64
Pm: 0.4997 0.4997 0.5007  6 Pm 3.64, 6 Pr 3.65-3.66
Pr: 0.0803 0.0803 0.7592  3 Li 3.48, 6 Pr 3.64, 3 Pm 3.65
Pr: 0.2530 0.2530 0.2409  3 Li 3.49, 6 Pr 3.64, 3 Pm 3.66

Calculated values
The total moment is 0.0 μB/f.u. The value obtained for the energy above the lowest structure with this stoichiometry is 29 meV/atom.

=====

Material: LiPmPr4
Method: DFT, PBE-GGA
State: optimized geometry

Cell: 3.7065 3.7065 14.6115 Å, 89.98 89.98 90.00°
Closest atoms and distances in Å follow each position.
Fractional positions:
Li: 0.0000 0.5000 0.5000  8 Pr 3.36-3.37, 4 Li 3.71
Pm: 0.5000 0.0000 0.0000  8 Pr 3.70, 4 Pm 3.71
Pr: 0.0008 0.5008 0.8214  8 Pr 3.68-3.71, 4 Pm 3.70
Pr: 0.9992 0.4992 0.1786  8 Pr 3.68-3.71, 4 Pm 3.70
Pr: 0.5008 0.0009 0.6443  4 Li 3.36-3.37, 8 Pr 3.68-3.71
Pr: 0.4992 0.9991 0.3557  4 Li 3.36-3.37, 8 Pr 3.68-3.71

Calculated values
The total moment is 0.0 μB/f.u.

=====

Material: Li5Pm3Pr12
Method: DFT, PBE-GGA
State: optimized geometry

Cell: 15.8097 15.8097 15.8097 Å, 109.47 109.47 109.47°
Closest atoms and distances in Å follow each position.
Fractional positions:
Pm: 0.7500 0.3750 0.1250  8 Pr 3.29-3.57
Pm: 0.8750 0.7500 0.1250  8 Pr 3.29-3.57
Pm: 0.3750 0.7500 0.6250  8 Pr 3.29-3.57
Pm: 0.2500 0.1250 0.3750  8 Pr 3.29-3.57
Pm: 0.8750 0.1250 0.2500  8 Pr 3.29-3.57
Pm: 0.3750 0.6250 0.2500  8 Pr 3.29-3.57
Pm: 0.6250 0.3750 0.7500  8 Pr 3.29-3.57
Pm: 0.1250 0.8750 0.7500  8 Pr 3.29-3.57
Pm: 0.7500 0.8750 0.6250  8 Pr 3.29-3.57
Pm: 0.6250 0.2500 0.3750  8 Pr 3.29-3.57
Pm: 0.1250 0.2500 0.8750  8 Pr 3.29-3.57
Pm: 0.2500 0.6250 0.8750  8 Pr 3.29-3.57
Li: 0.1250 0.3750 0.2500  4 Pr 3.00
Li: 0.0000 0.5000 0.0000  6 Pr 2.97
Li: 0.0000 0.0000 0.0000  6 Pr 2.97
Li: 0.3750 0.2500 0.1250  4 Pr 3.00
Li: 0.5000 0.0000 0.5000  6 Pr 2.97
Li: 0.5000 0.5000 0.0000  6 Pr 2.97
Li: 0.1250 0.7500 0.3750  4 Pr 3.00
Li: 0.7500 0.1250 0.8750  4 Pr 3.00
Li: 0.7500 0.6250 0.3750  4 Pr 3.00
Li: 0.3750 0.1250 0.7500  4 Pr 3.00
Li: 0.6250 0.8750 0.2500  4 Pr 3.00
Li: 0.5000 0.5000 0.5000  6 Pr 2.97
Li: 0.5000 0.0000 0.0000  6 Pr 2.97
Li: 0.0000 0.0000 0.5000  6 Pr 2.97
Li: 0.2500 0.3750 0.6250  4 Pr 3.00
Li: 0.2500 0.8750 0.1250  4 Pr 3.00
Li: 0.0000 0.5000 0.5000  6 Pr 2.97
Li: 0.8750 0.2500 0.6250  4 Pr 3.00
Li: 0.6250 0.7500 0.8750  4 Pr 3.00
Li: 0.8750 0.6250 0.7500  4 Pr 3.00
Pr: 0.7162 0.1212 0.0498  2 Li 2.97-3.00, 1 Pm 3.29
Pr: 0.3336 0.5498 0.4286  2 Li 2.97-3.00, 1 Pm 3.29
Pr: 0.9502 0.3788 0.2838  2 Li 2.97-3.00, 1 Pm 3.29
Pr: 0.5498 0.2162 0.1212  2 Li 2.97-3.00, 1 Pm 3.29
Pr: 0.5950 0.7162 0.6664  2 Li 2.97-3.00, 1 Pm 3.29
Pr: 0.9502 0.5714 0.1664  2 Li 2.97-3.00, 1 Pm 3.29
Pr: 0.3336 0.7838 0.4050  2 Li 2.97-3.00, 1 Pm 3.29
Pr: 0.0714 0.9050 0.1212  2 Li 2.97-3.00, 1 Pm 3.29
Pr: 0.5714 0.9502 0.6664  2 Li 2.97-3.00, 1 Pm 3.29
Pr: 0.7162 0.5950 0.1664  2 Li 2.97-3.00, 1 Pm 3.29
Pr: 0.7838 0.4502 0.3788  2 Li 2.97-3.00, 1 Pm 3.29
Pr: 0.8336 0.9286 0.0498  2 Li 2.97-3.00, 1 Pm 3.29
Pr: 0.1212 0.7162 0.5498  2 Li 2.97-3.00, 1 Pm 3.29
Pr: 0.3788 0.4286 0.0950  2 Li 2.97-3.00, 1 Pm 3.29
Pr: 0.0950 0.9286 0.3788  2 Li 2.97-3.00, 1 Pm 3.29
Pr: 0.4050 0.1212 0.5714  2 Li 2.97-3.00, 1 Pm 3.29
Pr: 0.0950 0.1664 0.2162  2 Li 2.97-3.00, 1 Pm 3.29
Pr: 0.4502 0.6664 0.0714  2 Li 2.97-3.00, 1 Pm 3.29
Pr: 0.8336 0.9050 0.2838  2 Li 2.97-3.00, 1 Pm 3.29
Pr: 0.1212 0.4050 0.0714  2 Li 2.97-3.00, 1 Pm 3.29
Pr: 0.3788 0.9502 0.7838  2 Li 2.97-3.00, 1 Pm 3.29
Pr: 0.5714 0.6212 0.4050  2 Li 2.97-3.00, 1 Pm 3.29
Pr: 0.9286 0.8336 0.5498  2 Li 2.97-3.00, 1 Pm 3.29
Pr: 0.7838 0.3336 0.9050  2 Li 2.97-3.00, 1 Pm 3.29
Pr: 0.4286 0.3788 0.5950  2 Li 2.97-3.00, 1 Pm 3.29
Pr: 0.0714 0.1664 0.4502  2 Li 2.97-3.00, 1 Pm 3.29
Pr: 0.2162 0.6664 0.0950  2 Li 2.97-3.00, 1 Pm 3.29
Pr: 0.1664 0.0950 0.7162  2 Li 2.97-3.00, 1 Pm 3.29
Pr: 0.6212 0.0498 0.2162  2 Li 2.97-3.00, 1 Pm 3.29
Pr: 0.8788 0.5950 0.9286  2 Li 2.97-3.00, 1 Pm 3.29
Pr: 0.5498 0.3336 0.9286  2 Li 2.97-3.00, 1 Pm 3.29
Pr: 0.5950 0.8788 0.4286  2 Li 2.97-3.00, 1 Pm 3.29
Pr: 0.9050 0.8336 0.7838  2 Li 2.97-3.00, 1 Pm 3.29
Pr: 0.9050 0.0714 0.6212  2 Li 2.97-3.00, 1 Pm 3.29
Pr: 0.8788 0.2838 0.4502  2 Li 2.97-3.00, 1 Pm 3.29
Pr: 0.1664 0.0714 0.9502  2 Li 2.97-3.00, 1 Pm 3.29
Pr: 0.6212 0.5714 0.9050  2 Li 2.97-3.00, 1 Pm 3.29
Pr: 0.4286 0.0498 0.3336  2 Li 2.97-3.00, 1 Pm 3.29
Pr: 0.2838 0.4050 0.8336  2 Li 2.97-3.00, 1 Pm 3.29
Pr: 0.2162 0.5498 0.6212  2 Li 2.97-3.00, 1 Pm 3.29
Pr: 0.9286 0.0950 0.8788  2 Li 2.97-3.00, 1 Pm 3.29
Pr: 0.6664 0.2162 0.5950  2 Li 2.97-3.00, 1 Pm 3.29
Pr: 0.4502 0.7838 0.8788  2 Li 2.97-3.00, 1 Pm 3.29
Pr: 0.0498 0.4286 0.8336  2 Li 2.97-3.00, 1 Pm 3.29
Pr: 0.4050 0.2838 0.3336  2 Li 2.97-3.00, 1 Pm 3.29
Pr: 0.0498 0.6212 0.7162  2 Li 2.97-3.00, 1 Pm 3.29
Pr: 0.6664 0.4502 0.5714  2 Li 2.97-3.00, 1 Pm 3.29
Pr: 0.2838 0.8788 0.9502  2 Li 2.97-3.00, 1 Pm 3.29

Calculated values
The total moment is 0.0 μB/f.u.

=====

Material: LiPmPr2
Method: DFT, PBE-GGA
State: optimized geometry

Cell: 3.5985 3.5985 12.0903 Å, 90.00 90.00 120.00°
Closest atoms and distances in Å follow each position.
Fractional positions:
Li: 0.6667 0.3333 0.5242  4 Pr 3.29-3.53, 6 Li 3.60
Pm: 0.0000 0.0000 0.0083  6 Pm 3.60, 6 Pr 3.60-3.65
Pr: 0.6667 0.3333 0.2520  1 Li 3.29, 6 Pr 3.60, 3 Pm 3.60
Pr: 0.3333 0.6667 0.7605  3 Li 3.53, 6 Pr 3.60, 3 Pm 3.65

Calculated values
The total moment is 0.0 μB/f.u. The value obtained for the energy above the lowest structure with this stoichiometry is 66 meV/atom.

=====

Material: LiPm5Pr4
Method: DFT, PBE-GGA
State: optimized geometry

Cell: 4.2525 4.2525 18.7965 Å, 90.00 90.00 90.00°
Closest atoms and distances in Å follow each position.
Fractional positions:
Li: 0.0000 0.0000 0.0000  8 Pm 3.48, 2 Pr 3.80
Pm: 0.5000 0.5000 0.0936  4 Li 3.48, 2 Pm 3.52-3.82, 4 Pr 3.64
Pm: 0.5000 0.5000 0.2968  8 Pr 3.49-3.56, 2 Pm 3.82
Pm: 0.5000 0.5000 0.5000  8 Pr 3.57, 2 Pm 3.82
Pm: 0.5000 0.5000 0.7032  8 Pr 3.49-3.56, 2 Pm 3.82
Pm: 0.5000 0.5000 0.9064  4 Li 3.48, 2 Pm 3.52-3.82, 4 Pr 3.64
Pr: 0.0000 0.0000 0.2023  8 Pm 3.49-3.64, 1 Pr 3.68, 1 Li 3.80
Pr: 0.0000 0.0000 0.3979  8 Pm 3.56-3.57, 2 Pr 3.68-3.84
Pr: 0.0000 0.0000 0.6021  8 Pm 3.56-3.57, 2 Pr 3.68-3.84
Pr: 0.0000 0.0000 0.7977  8 Pm 3.49-3.64, 1 Pr 3.68, 1 Li 3.80

Calculated values
The total moment is 0.0 μB/f.u.

=====

Material: LiPmPr
Method: DFT, PBE-GGA
State: optimized geometry

Cell: 3.7081 3.7081 13.2678 Å, 90.00 90.00 90.00°
Closest atoms and distances in Å follow each position.
Fractional positions:
Li: 0.7498 0.7498 0.5492  4 Li 2.93
Li: 0.2502 0.2502 0.4508  4 Li 2.93
Pm: 0.2497 0.2497 0.7107  5 Li 3.39-3.45, 4 Pr 3.62, 4 Pm 3.71
Pm: 0.7503 0.7503 0.2893  5 Li 3.39-3.45, 4 Pr 3.62, 4 Pm 3.71
Pr: 0.7499 0.7499 0.8992  4 Pm 3.62, 8 Pr 3.71-3.75
Pr: 0.2501 0.2501 0.1008  4 Pm 3.62, 8 Pr 3.71-3.75

Calculated values
The total moment is 0.0 μB/f.u. The value obtained for the energy above the lowest structure with this stoichiometry is 0 meV/atom.

=====

Sequential energy relative to the elements output: 0.086; 0.042; 0.695; 0.122; 0.131; 0.045 eV/atom
Sequential final energy output: -3.97; -4.25; -3.36; -3.93; -4.35; -3.77 eV per atom